Computed, not measured: a relaxed structure of Na3SnBi2Te6 at the GGA-PBE level of DFT.

Energy relative to the elements, uncorrected   -6.220 eV/f.u.
Total energy   -40.8 eV for the cell shown

```
Na3SnBi2Te6
1.0
10.027 -2.217 0.000
10.027 2.217 0.000
-2.571 0.000 8.915
Na Sn Bi Te
3 1 2 6
Direct
0.000 0.000 0.000
0.332 0.332 0.668
0.668 0.668 0.332
0.000 0.000 0.500
0.334 0.334 0.170
0.666 0.666 0.830
0.162 0.162 0.587
0.170 0.170 0.076
0.498 0.498 0.263
0.502 0.502 0.737
0.830 0.830 0.924
0.838 0.838 0.413
```

---

Computed, not measured: a relaxed structure of NaSn3Bi2Te6 at the GGA-PBE level of DFT.

Energy relative to the elements, uncorrected   -3.791 eV/f.u.
Total energy   -43.7 eV for the cell shown

```
NaSn3Bi2Te6
1.0
9.857 -2.233 0.000
9.857 2.233 0.000
-2.212 0.000 9.056
Na Sn Bi Te
1 3 2 6
Direct
0.000 0.000 0.000
0.000 0.000 0.500
0.331 0.331 0.162
0.669 0.669 0.838
0.340 0.340 0.666
0.660 0.660 0.334
0.167 0.167 0.593
0.170 0.170 0.091
0.498 0.498 0.744
0.502 0.502 0.256
0.830 0.830 0.909
0.833 0.833 0.407
```

---

Computed, not measured: a relaxed structure of NaSn2BiTe4 at the GGA-PBE level of DFT.

Energy relative to the elements, uncorrected   -3.083 eV/f.u.
Total energy   -28.9 eV for the cell shown

```
NaSn2BiTe4
1.0
7.793 0.000 0.000
0.000 4.533 0.000
-2.535 0.000 7.414
Na Sn Bi Te
1 2 1 4
Direct
0.000 0.000 0.000
0.500 0.000 0.500
0.500 0.500 0.000
0.000 0.500 0.500
0.249 0.000 0.750
0.254 0.500 0.254
0.746 0.500 0.746
0.751 0.000 0.250
```

---

| no. | DOS(E_F) (states/eV/cell) |
| --- | --- |
| 1 | 3.09 |
| 2 | 3.01 |
| 3 | 1.33 |